No. 1
First-principles (PBE) data for a relaxed Zr4Ag crystal, as listed in Alexandria.

Unit cell a=7.238 b=7.238 c=5.528 alpha=49.11 beta=49.11 gamma=90.00
Fractional positions:
Zr (0.609, 0.193, 0.000)
Zr (0.193, 0.391, 0.000)
Ag (0.000, 0.000, 0.000)
Zr (0.391, 0.807, 0.000)
Zr (0.807, 0.609, 0.000)

Formation energy: 9 meV per atom
Calculated total energy: -7.400 eV/atom
Total moment: 0.00 μB per cell
E above lowest polymorph: 0.273 eV/f.u.



No. 2
First-principles (PBE) data for a relaxed Zr4Ag crystal, as listed in Alexandria.

Unit cell a=3.199 b=11.003 c=3.198 alpha=81.65 beta=90.03 gamma=81.65
Fractional positions:
Zr (0.198, 0.605, 0.198)
Ag (0.000, 0.000, 0.000)
Zr (0.595, 0.810, 0.595)
Zr (0.405, 0.190, 0.405)
Zr (0.802, 0.395, 0.802)

Formation energy: -45 meV per atom
Calculated total energy: -7.454 eV/atom
Total moment: 0.00 μB per cell
E above lowest polymorph: 0.000 eV/f.u.



No. 3
First-principles (PBE) data for a relaxed ZrAg7 crystal, as listed in Alexandria.

Unit cell a=5.953 b=5.953 c=5.953 alpha=60.00 beta=60.00 gamma=60.00
Fractional positions:
Ag (0.500, 0.000, 0.000)
Ag (0.000, 0.500, 0.000)
Ag (0.500, 0.500, 0.500)
Zr (0.000, 0.000, 0.000)
Ag (0.000, 0.000, 0.500)
Ag (0.000, 0.500, 0.500)
Ag (0.500, 0.000, 0.500)
Ag (0.500, 0.500, 0.000)

Formation energy: 144 meV per atom
Calculated total energy: -3.419 eV/atom
Total moment: 1.04 μB per cell



No. 4
First-principles (PBE) data for a relaxed ZrAg2 crystal, as listed in Alexandria.

Unit cell a=5.553 b=5.553 c=5.553 alpha=104.17 beta=104.17 gamma=120.69
Fractional positions:
Ag (0.860, 0.640, 0.500)
Zr (0.750, 0.750, 0.000)
Zr (0.250, 0.250, 0.000)
Ag (0.360, 0.860, 0.220)
Ag (0.640, 0.140, 0.780)
Ag (0.140, 0.360, 0.500)

Formation energy: 331 meV per atom
Calculated total energy: -4.419 eV/atom
Total moment: 0.00 μB per cell
E above lowest polymorph: 1.176 eV/f.u.



No. 5
First-principles (PBE) data for a relaxed Zr4Ag crystal, as listed in Alexandria.

Unit cell a=7.872 b=7.872 c=7.872 alpha=150.24 beta=150.24 gamma=42.59
Fractional positions:
Zr (0.591, 0.591, 0.000)
Ag (0.000, 0.000, 0.000)
Zr (0.250, 0.750, 0.500)
Zr (0.750, 0.250, 0.500)
Zr (0.409, 0.409, 0.000)

Formation energy: 559 meV per atom
Calculated total energy: -6.850 eV/atom
Total moment: 0.00 μB per cell
E above lowest polymorph: 3.023 eV/f.u.



No. 6
First-principles (PBE) data for a relaxed ZrAg2 crystal, as listed in Alexandria.

Unit cell a=5.186 b=5.186 c=5.005 alpha=90.00 beta=90.00 gamma=120.84
Fractional positions:
Ag (0.126, 0.468, 0.750)
Ag (0.532, 0.874, 0.250)
Zr (0.214, 0.214, 0.250)
Ag (0.468, 0.126, 0.750)
Ag (0.874, 0.532, 0.250)
Zr (0.786, 0.786, 0.750)

Formation energy: -37 meV per atom
Calculated total energy: -4.787 eV/atom
Total moment: 0.49 μB per cell
E above lowest polymorph: 0.073 eV/f.u.